[1]
The following is a GGA-PBE calculation of CaLa4Al after structural relaxation, from Alexandria.

a = 6.6591 Å, b = 6.6591 Å, c = 6.6591 Å
α = 60.00°, β = 60.00°, γ = 60.00°
Sites, in units of the cell vectors:
1 Ca 0.0000 0.0000 0.0000
2 La 0.1363 0.6212 0.6212
3 La 0.6212 0.1363 0.6212
4 La 0.6212 0.6212 0.1363
5 La 0.6212 0.6212 0.6212
6 Al 0.2500 0.2500 0.2500

Calculated values
- formation energy (eV/atom) = 0.250
- crystal system = cubic
- calculated volume (A^3/atom) = 34.80
- E_tot (eV per cell) = -23.954
- symmetry = F-43m, No. 216
- total moment (μB per atom) = 0.00

---

[2]
The following is a GGA-PBE calculation of Ca2La2Al after structural relaxation, from Alexandria.

a = 7.9841 Å, b = 7.9841 Å, c = 5.7264 Å
α = 90.00°, β = 90.00°, γ = 90.00°
Sites, in units of the cell vectors:
1 Ca 0.1723 0.3277 0.0000
2 Ca 0.3277 0.8277 0.0000
3 Ca 0.6723 0.1723 0.0000
4 Ca 0.8277 0.6723 0.0000
5 La 0.1312 0.6312 0.5000
6 La 0.3688 0.1312 0.5000
7 La 0.6312 0.8688 0.5000
8 La 0.8688 0.3688 0.5000
9 Al 0.0000 0.0000 0.5000
10 Al 0.5000 0.5000 0.5000

Calculated values
- formation energy (eV/atom) = 0.164
- offset from the most stable computed form (meV/atom) = 0.0
- crystal system = tetragonal
- calculated volume (A^3/atom) = 36.50
- E_tot (eV per cell) = -33.562
- symmetry = P4/mbm, No. 127
- total moment (μB per atom) = 0.00

---

Copy entry 2 word for word.
The following is a GGA-PBE calculation of Ca2La2Al after structural relaxation, from Alexandria.

a = 7.9841 Å, b = 7.9841 Å, c = 5.7264 Å
α = 90.00°, β = 90.00°, γ = 90.00°
Sites, in units of the cell vectors:
1 Ca 0.1723 0.3277 0.0000
2 Ca 0.3277 0.8277 0.0000
3 Ca 0.6723 0.1723 0.0000
4 Ca 0.8277 0.6723 0.0000
5 La 0.1312 0.6312 0.5000
6 La 0.3688 0.1312 0.5000
7 La 0.6312 0.8688 0.5000
8 La 0.8688 0.3688 0.5000
9 Al 0.0000 0.0000 0.5000
10 Al 0.5000 0.5000 0.5000

Calculated values
- formation energy (eV/atom) = 0.164
- offset from the most stable computed form (meV/atom) = 0.0
- crystal system = tetragonal
- calculated volume (A^3/atom) = 36.50
- E_tot (eV per cell) = -33.562
- symmetry = P4/mbm, No. 127
- total moment (μB per atom) = 0.00

---

Question: What is the calculated volume in the second record?
Answer: 36.50 A^3/atom

---

Question: Which value of calculated volume does entry 2 give?
Answer: 36.50 A^3/atom